# CsK2ClO, relaxed, DFT PBE
data_CsK2ClO
_chemical_formula_sum 'Cs1 K2 Cl1 O1'
_cell_length_a 5.245
_cell_length_b 5.245
_cell_length_c 5.893
_cell_angle_alpha 90.00
_cell_angle_beta 90.00
_cell_angle_gamma 90.00
_space_group_name_H-M_alt 'P 4/m m m'
_space_group_IT_number 123
_space_group_name_Hall '-P 4 2'
loop_
_atom_site_label
_atom_site_type_symbol
_atom_site_fract_x
_atom_site_fract_y
_atom_site_fract_z
Cs1 Cs 0.000 0.000 0.000
K1 K 0.000 0.500 0.500
Cl1 Cl 0.500 0.500 0.000
O1 O 0.000 0.000 0.500
# Total energy (eV/f.u.): -16.58
# Total moment (μB per formula unit): 0.000

=====

# Cs2K5Cl3O2, relaxed, DFT PBE
data_Cs2K5Cl3O2
_chemical_formula_sum 'Cs4 K10 Cl6 O4'
_cell_length_a 5.236
_cell_length_b 5.236
_cell_length_c 28.099
_cell_angle_alpha 90.00
_cell_angle_beta 90.00
_cell_angle_gamma 90.00
_space_group_name_H-M_alt 'I 4/m m m'
_space_group_IT_number 139
_space_group_name_Hall '-I 4 2'
loop_
_atom_site_label
_atom_site_type_symbol
_atom_site_fract_x
_atom_site_fract_y
_atom_site_fract_z
Cs1 Cs 0.000 0.000 0.192
K1 K 0.000 0.000 0.000
K2 K 0.000 0.500 0.092
Cl1 Cl 0.000 0.000 0.328
Cl2 Cl 0.000 0.000 0.500
O1 O 0.000 0.000 0.094
# Total energy (eV/f.u.): -40.57
# Total moment (μB per formula unit): 0.005

=====

# Cs2K2Cl2O, relaxed, DFT PBE
data_Cs2K2Cl2O
_chemical_formula_sum 'Cs4 K4 Cl4 O2'
_cell_length_a 16.016
_cell_length_b 4.446
_cell_length_c 8.009
_cell_angle_alpha 90.00
_cell_angle_beta 119.40
_cell_angle_gamma 90.00
_space_group_name_H-M_alt 'C 1 2/m 1'
_space_group_IT_number 12
_space_group_name_Hall '-C 2y'
loop_
_atom_site_label
_atom_site_type_symbol
_atom_site_fract_x
_atom_site_fract_y
_atom_site_fract_z
Cs1 Cs 0.024 0.000 0.275
K1 K 0.179 0.500 0.745
Cl1 Cl 0.169 0.500 0.133
O1 O 0.000 0.500 0.500
# Total energy (eV/f.u.): -23.26
# Total moment (μB per formula unit): 0.097

=====

# Cs2KClO, relaxed, DFT PBE
data_Cs2KClO
_chemical_formula_sum 'Cs8 K4 Cl4 O4'
_cell_length_a 4.372
_cell_length_b 15.061
_cell_length_c 10.353
_cell_angle_alpha 90.00
_cell_angle_beta 90.00
_cell_angle_gamma 90.00
_space_group_name_H-M_alt 'C m c m'
_space_group_IT_number 63
_space_group_name_Hall '-C 2c 2'
loop_
_atom_site_label
_atom_site_type_symbol
_atom_site_fract_x
_atom_site_fract_y
_atom_site_fract_z
Cs1 Cs 0.000 0.124 0.053
K1 K 0.000 0.434 0.250
Cl1 Cl 0.000 0.220 0.750
O1 O 0.000 0.500 0.000
# Energy relative to the lowest polymorph listed for this composition (eV per atom): 0.000
# Total energy (eV/f.u.): -16.48
# Total moment (μB per formula unit): 0.078

=====

# Cs2KClO, relaxed, DFT PBE
data_Cs2KClO
_chemical_formula_sum 'Cs2 K1 Cl1 O1'
_cell_length_a 5.894
_cell_length_b 5.894
_cell_length_c 5.183
_cell_angle_alpha 90.00
_cell_angle_beta 90.00
_cell_angle_gamma 90.00
_space_group_name_H-M_alt 'P 4/m m m'
_space_group_IT_number 123
_space_group_name_Hall '-P 4 2'
loop_
_atom_site_label
_atom_site_type_symbol
_atom_site_fract_x
_atom_site_fract_y
_atom_site_fract_z
Cs1 Cs 0.000 0.500 0.000
K1 K 0.000 0.000 0.500
Cl1 Cl 0.500 0.500 0.500
O1 O 0.000 0.000 0.000
# Energy relative to the lowest polymorph listed for this composition (eV per atom): 0.050
# Total energy (eV/f.u.): -16.23
# Total moment (μB per formula unit): 0.000

=====

# Cs3KCl2O, relaxed, DFT PBE
data_Cs3KCl2O
_chemical_formula_sum 'Cs6 K2 Cl4 O2'
_cell_length_a 5.247
_cell_length_b 5.779
_cell_length_c 17.928
_cell_angle_alpha 90.00
_cell_angle_beta 90.00
_cell_angle_gamma 90.00
_space_group_name_H-M_alt 'I m m m'
_space_group_IT_number 71
_space_group_name_Hall '-I 2 2'
loop_
_atom_site_label
_atom_site_type_symbol
_atom_site_fract_x
_atom_site_fract_y
_atom_site_fract_z
Cs1 Cs 0.000 0.000 0.000
Cs2 Cs 0.000 0.500 0.158
K1 K 0.000 0.000 0.500
Cl1 Cl 0.000 0.500 0.361
O1 O 0.000 0.500 0.000
# Total energy (eV/f.u.): -22.98
# Total moment (μB per formula unit): 0.000

=====

# Cs2KOsCl6, relaxed, DFT PBE
data_Cs2KOsCl6
_chemical_formula_sum 'Cs8 K4 Os4 Cl24'
_cell_length_a 10.820
_cell_length_b 10.820
_cell_length_c 10.820
_cell_angle_alpha 90.00
_cell_angle_beta 90.00
_cell_angle_gamma 90.00
_space_group_name_H-M_alt 'F m -3 m'
_space_group_IT_number 225
_space_group_name_Hall '-F 4 2 3'
loop_
_atom_site_label
_atom_site_type_symbol
_atom_site_fract_x
_atom_site_fract_y
_atom_site_fract_z
Cs1 Cs 0.250 0.250 0.250
K1 K 0.000 0.000 0.000
Os1 Os 0.000 0.000 0.500
Cl1 Cl 0.000 0.000 0.279
# Total energy (eV/f.u.): -38.29
# Total moment (μB per formula unit): 1.000

=====

# CsKP2Cl, relaxed, DFT PBE
data_CsKP2Cl
_chemical_formula_sum 'Cs1 K1 P2 Cl1'
_cell_length_a 6.266
_cell_length_b 6.266
_cell_length_c 5.932
_cell_angle_alpha 90.00
_cell_angle_beta 90.00
_cell_angle_gamma 90.00
_space_group_name_H-M_alt 'P 4/m m m'
_space_group_IT_number 123
_space_group_name_Hall '-P 4 2'
loop_
_atom_site_label
_atom_site_type_symbol
_atom_site_fract_x
_atom_site_fract_y
_atom_site_fract_z
Cs1 Cs 0.000 0.000 0.000
K1 K 0.500 0.500 0.500
P1 P 0.000 0.500 0.500
Cl1 Cl 0.500 0.500 0.000
# Energy relative to the lowest polymorph listed for this composition (eV per atom): 0.000
# Total energy (eV/f.u.): -13.28
# Total moment (μB per formula unit): 5.000

=====

# CsKPCl2, relaxed, DFT PBE
data_CsKPCl2
_chemical_formula_sum 'Cs1 K1 P1 Cl2'
_cell_length_a 6.011
_cell_length_b 6.011
_cell_length_c 6.057
_cell_angle_alpha 90.00
_cell_angle_beta 90.00
_cell_angle_gamma 90.00
_space_group_name_H-M_alt 'P 4/m m m'
_space_group_IT_number 123
_space_group_name_Hall '-P 4 2'
loop_
_atom_site_label
_atom_site_type_symbol
_atom_site_fract_x
_atom_site_fract_y
_atom_site_fract_z
Cs1 Cs 0.000 0.000 0.000
K1 K 0.500 0.500 0.500
P1 P 0.500 0.500 0.000
Cl1 Cl 0.000 0.500 0.500
# Total energy (eV/f.u.): -14.30
# Total moment (μB per formula unit): 3.046

=====

# CsKP2Cl, relaxed, DFT PBE
data_CsKP2Cl
_chemical_formula_sum 'Cs1 K1 P2 Cl1'
_cell_length_a 6.141
_cell_length_b 6.141
_cell_length_c 6.431
_cell_angle_alpha 90.00
_cell_angle_beta 90.00
_cell_angle_gamma 90.00
_space_group_name_H-M_alt 'P 4/m m m'
_space_group_IT_number 123
_space_group_name_Hall '-P 4 2'
loop_
_atom_site_label
_atom_site_type_symbol
_atom_site_fract_x
_atom_site_fract_y
_atom_site_fract_z
Cs1 Cs 0.000 0.000 0.000
K1 K 0.500 0.500 0.500
P1 P 0.000 0.500 0.000
Cl1 Cl 0.000 0.000 0.500
# Energy relative to the lowest polymorph listed for this composition (eV per atom): 0.241
# Total energy (eV/f.u.): -12.08
# Total moment (μB per formula unit): 3.616

=====

# CsKPaCl6, relaxed, DFT PBE
data_CsKPaCl6
_chemical_formula_sum 'Cs2 K2 Pa2 Cl12'
_cell_length_a 8.2123
_cell_length_b 8.2123
_cell_length_c 11.9614
_cell_angle_alpha 90.00
_cell_angle_beta 90.00
_cell_angle_gamma 120.00
_space_group_name_H-M_alt 'P -3 1 c'
_space_group_IT_number 163
_space_group_name_Hall '-P 3 2c'
loop_
_atom_site_label
_atom_site_type_symbol
_atom_site_fract_x
_atom_site_fract_y
_atom_site_fract_z
Cs1 Cs 0.3333 0.6667 0.2500
K1 K 0.0000 0.0000 0.0000
Pa1 Pa 0.3333 0.6667 0.7500
Cl1 Cl 0.0763 0.3920 0.6230
# Total energy (eV/f.u.): -40.41
# Total moment (μB per formula unit): 1.010

=====

# Cs2KPaCl8, relaxed, DFT PBE
data_Cs2KPaCl8
_chemical_formula_sum 'Cs2 K1 Pa1 Cl8'
_cell_length_a 7.392
_cell_length_b 7.427
_cell_length_c 10.231
_cell_angle_alpha 89.99
_cell_angle_beta 89.97
_cell_angle_gamma 86.93
_space_group_name_H-M_alt 'P -1'
_space_group_IT_number 2
_space_group_name_Hall '-P 1'
loop_
_atom_site_label
_atom_site_type_symbol
_atom_site_fract_x
_atom_site_fract_y
_atom_site_fract_z
Cs1 Cs 0.001 0.000 0.263
K1 K 0.500 0.500 0.500
Pa1 Pa 0.500 0.500 0.000
Cl1 Cl 0.196 0.770 0.500
Cl2 Cl 0.202 0.695 0.000
Cl3 Cl 0.375 0.299 0.822
Cl4 Cl 0.375 0.300 0.180
# Total energy (eV/f.u.): -49.93
# Total moment (μB per formula unit): 0.262

=====

# Cs3KPb2Cl9, relaxed, DFT PBE
data_Cs3KPb2Cl9
_chemical_formula_sum 'Cs3 K1 Pb2 Cl9'
_cell_length_a 8.1005
_cell_length_b 8.1005
_cell_length_c 9.8730
_cell_angle_alpha 90.00
_cell_angle_beta 90.00
_cell_angle_gamma 120.00
_space_group_name_H-M_alt 'P -3 m 1'
_space_group_IT_number 164
_space_group_name_Hall '-P 3 2"'
loop_
_atom_site_label
_atom_site_type_symbol
_atom_site_fract_x
_atom_site_fract_y
_atom_site_fract_z
Cs1 Cs 0.0000 0.0000 0.0000
Cs2 Cs 0.3333 0.6667 0.6497
K1 K 0.0000 0.0000 0.5000
Pb1 Pb 0.3333 0.6667 0.1638
Cl1 Cl 0.0000 0.5000 0.0000
Cl2 Cl 0.1758 0.3516 0.3246
# Total energy (eV/f.u.): -50.75
# Total moment (μB per formula unit): 0.000

=====

# CsK2PbCl8, relaxed, DFT PBE
data_CsK2PbCl8
_chemical_formula_sum 'Cs1 K2 Pb1 Cl8'
_cell_length_a 5.768
_cell_length_b 7.227
_cell_length_c 9.576
_cell_angle_alpha 89.83
_cell_angle_beta 72.58
_cell_angle_gamma 89.47
_space_group_name_H-M_alt 'P -1'
_space_group_IT_number 2
_space_group_name_Hall '-P 1'
loop_
_atom_site_label
_atom_site_type_symbol
_atom_site_fract_x
_atom_site_fract_y
_atom_site_fract_z
Cs1 Cs 0.000 0.000 0.000
K1 K 0.341 0.493 0.306
Pb1 Pb 0.000 0.000 0.500
Cl1 Cl 0.175 0.253 0.625
Cl2 Cl 0.185 0.736 0.613
Cl3 Cl 0.246 0.500 0.998
Cl4 Cl 0.358 0.010 0.261
# Total energy (eV/f.u.): -36.67
# Total moment (μB per formula unit): 0.000

=====

# Cs3KPd2Cl9, relaxed, DFT PBE
data_Cs3KPd2Cl9
_chemical_formula_sum 'Cs3 K1 Pd2 Cl9'
_cell_length_a 7.4240
_cell_length_b 7.4240
_cell_length_c 9.3842
_cell_angle_alpha 90.00
_cell_angle_beta 90.00
_cell_angle_gamma 120.00
_space_group_name_H-M_alt 'P -3 m 1'
_space_group_IT_number 164
_space_group_name_Hall '-P 3 2"'
loop_
_atom_site_label
_atom_site_type_symbol
_atom_site_fract_x
_atom_site_fract_y
_atom_site_fract_z
Cs1 Cs 0.0000 0.0000 0.0000
Cs2 Cs 0.3333 0.6667 0.6726
K1 K 0.0000 0.0000 0.5000
Pd1 Pd 0.3333 0.6667 0.1458
Cl1 Cl 0.0000 0.5000 0.0000
Cl2 Cl 0.1792 0.3584 0.2969
# Total energy (eV/f.u.): -49.49
# Total moment (μB per formula unit): 0.000

=====

# CsKPdCl6, relaxed, DFT PBE
data_CsKPdCl6
_chemical_formula_sum 'Cs1 K1 Pd1 Cl6'
_cell_length_a 7.4623
_cell_length_b 7.4623
_cell_length_c 7.0328
_cell_angle_alpha 90.00
_cell_angle_beta 90.00
_cell_angle_gamma 120.00
_space_group_name_H-M_alt 'P 3 1 2'
_space_group_IT_number 149
_space_group_name_Hall 'P 3 2'
loop_
_atom_site_label
_atom_site_type_symbol
_atom_site_fract_x
_atom_site_fract_y
_atom_site_fract_z
Cs1 Cs 0.0000 0.0000 0.0000
K1 K 0.3333 0.6667 0.5000
Pd1 Pd 0.6667 0.3333 0.5000
Cl1 Cl 0.4110 0.0763 0.6954
# Total energy (eV/f.u.): -28.10
# Total moment (μB per formula unit): 0.000

=====

# Cs2KPmCl6, relaxed, DFT PBE
data_Cs2KPmCl6
_chemical_formula_sum 'Cs4 K2 Pm2 Cl12'
_cell_length_a 7.982
_cell_length_b 8.220
_cell_length_c 13.891
_cell_angle_alpha 90.00
_cell_angle_beta 124.90
_cell_angle_gamma 90.00
_space_group_name_H-M_alt 'P 1 21/c 1'
_space_group_IT_number 14
_space_group_name_Hall '-P 2ybc'
loop_
_atom_site_label
_atom_site_type_symbol
_atom_site_fract_x
_atom_site_fract_y
_atom_site_fract_z
Cs1 Cs 0.234 0.052 0.249
K1 K 0.000 0.000 0.500
Pm1 Pm 0.500 0.000 0.000
Cl1 Cl 0.188 0.191 0.962
Cl2 Cl 0.268 0.729 0.957
Cl3 Cl 0.346 0.023 0.767
# Total energy (eV/f.u.): -40.25
# Total moment (μB per formula unit): 0.000

=====

# CsK2PrCl6, relaxed, DFT PBE
data_CsK2PrCl6
_chemical_formula_sum 'Cs3 K6 Pr3 Cl18'
_cell_length_a 7.9530
_cell_length_b 7.9530
_cell_length_c 21.1015
_cell_angle_alpha 90.00
_cell_angle_beta 90.00
_cell_angle_gamma 120.00
_space_group_name_H-M_alt 'R 3'
_space_group_IT_number 146
_space_group_name_Hall 'R 3'
loop_
_atom_site_label
_atom_site_type_symbol
_atom_site_fract_x
_atom_site_fract_y
_atom_site_fract_z
Cs1 Cs 0.0000 0.0000 0.0000
K1 K 0.0000 0.0000 0.2799
K2 K 0.0000 0.0000 0.7937
Pr1 Pr 0.0000 0.0000 0.4836
Cl1 Cl 0.0204 0.3764 0.2163
Cl2 Cl 0.0291 0.7490 0.3973
# Total energy (eV/f.u.): -40.11
# Total moment (μB per formula unit): 0.000

=====

# Cs2KPrCl6, relaxed, DFT PBE
data_Cs2KPrCl6
_chemical_formula_sum 'Cs8 K4 Pr4 Cl24'
_cell_length_a 11.567
_cell_length_b 11.567
_cell_length_c 11.567
_cell_angle_alpha 90.00
_cell_angle_beta 90.00
_cell_angle_gamma 90.00
_space_group_name_H-M_alt 'F m -3 m'
_space_group_IT_number 225
_space_group_name_Hall '-F 4 2 3'
loop_
_atom_site_label
_atom_site_type_symbol
_atom_site_fract_x
_atom_site_fract_y
_atom_site_fract_z
Cs1 Cs 0.250 0.250 0.250
K1 K 0.000 0.000 0.000
Pr1 Pr 0.000 0.000 0.500
Cl1 Cl 0.000 0.000 0.262
# Total energy (eV/f.u.): -40.00
# Total moment (μB per formula unit): 0.000

=====

# Cs2KPtCl6, relaxed, DFT PBE
data_Cs2KPtCl6
_chemical_formula_sum 'Cs2 K1 Pt1 Cl6'
_cell_length_a 7.4556
_cell_length_b 7.4556
_cell_length_c 7.6144
_cell_angle_alpha 90.00
_cell_angle_beta 90.00
_cell_angle_gamma 120.00
_space_group_name_H-M_alt 'P -3 m 1'
_space_group_IT_number 164
_space_group_name_Hall '-P 3 2"'
loop_
_atom_site_label
_atom_site_type_symbol
_atom_site_fract_x
_atom_site_fract_y
_atom_site_fract_z
Cs1 Cs 0.3333 0.6667 0.3367
K1 K 0.0000 0.0000 0.0000
Pt1 Pt 0.0000 0.0000 0.5000
Cl1 Cl 0.1550 0.3101 0.6873
# Energy relative to the lowest polymorph listed for this composition (eV per atom): 0.000
# Total energy (eV/f.u.): -33.41
# Total moment (μB per formula unit): 1.040

=====

# Cs2KPtCl6, relaxed, DFT PBE
data_Cs2KPtCl6
_chemical_formula_sum 'Cs4 K2 Pt2 Cl12'
_cell_length_a 7.807
_cell_length_b 7.807
_cell_length_c 10.723
_cell_angle_alpha 90.00
_cell_angle_beta 90.00
_cell_angle_gamma 90.00
_space_group_name_H-M_alt 'I 4/m m m'
_space_group_IT_number 139
_space_group_name_Hall '-I 4 2'
loop_
_atom_site_label
_atom_site_type_symbol
_atom_site_fract_x
_atom_site_fract_y
_atom_site_fract_z
Cs1 Cs 0.000 0.500 0.250
K1 K 0.000 0.000 0.000
Pt1 Pt 0.000 0.000 0.500
Cl1 Cl 0.000 0.000 0.283
Cl2 Cl 0.226 0.226 0.500
# Energy relative to the lowest polymorph listed for this composition (eV per atom): 0.005
# Total energy (eV/f.u.): -33.36
# Total moment (μB per formula unit): 1.000

=====

# CsK2PtCl, relaxed, DFT PBE
data_CsK2PtCl
_chemical_formula_sum 'Cs1 K2 Pt1 Cl1'
_cell_length_a 6.046
_cell_length_b 6.046
_cell_length_c 6.601
_cell_angle_alpha 90.00
_cell_angle_beta 90.00
_cell_angle_gamma 90.00
_space_group_name_H-M_alt 'P 4/m m m'
_space_group_IT_number 123
_space_group_name_Hall '-P 4 2'
loop_
_atom_site_label
_atom_site_type_symbol
_atom_site_fract_x
_atom_site_fract_y
_atom_site_fract_z
Cs1 Cs 0.000 0.000 0.000
K1 K 0.000 0.500 0.500
Pt1 Pt 0.000 0.000 0.500
Cl1 Cl 0.500 0.500 0.000
# Total energy (eV/f.u.): -13.95
# Total moment (μB per formula unit): 0.000

=====

The calculation returns the following energy relative to the elements, uncorrected values, one per record and in order: -1.3453 -1.4932 -1.5290 -1.3732 -1.3231 -1.5248 -1.3177 0.2672 -0.6494 0.5082 -1.9874 -1.9050 -1.5372 -1.2614 -1.2549 -1.0972 -2.1613 -2.1197 -2.1334 -1.3482 -1.3437 -0.6037 eV/atom.